Mg2In3Pd3 after structural relaxation. Source: Alexandria via LeMat-Bulk, functional PBE.

## Properties
E_tot ... -3.8928 eV/atom
Total magnetic moment ... 0.00 μB/cell
Space group ... No. 193
ΔE_f ... -50.2 kJ per mole of atoms

Lattice parameters (Å, degrees): 5.7535 7.8248 7.8248 60.00 90.00 90.00
Fractional positions:
In  0.7500  0.2488  0.7512
Pd  0.2500  0.0000  0.3993
In  0.7500  0.7512  0.0000
Mg  0.0000  0.3333  0.3333
Mg  0.5000  0.6667  0.6667
Mg  0.5000  0.3333  0.3333
Pd  0.7500  0.0000  0.6007
Pd  0.2500  0.3993  0.6007
Pd  0.2500  0.6007  0.0000
In  0.7500  0.0000  0.2488
Pd  0.7500  0.3993  0.0000
In  0.2500  0.0000  0.7512
In  0.2500  0.2488  0.0000
Mg  0.0000  0.6667  0.6667
Pd  0.7500  0.6007  0.3993
In  0.2500  0.7512  0.2488

---

Li2AcInHg4 after structural relaxation. Source: Alexandria via LeMat-Bulk, functional PBE.

## Properties
E_tot ... -1.8364 eV/atom
Total magnetic moment ... 0.00 μB/cell
Space group ... No. 166
ΔE_f ... -33.9 kJ per mole of atoms

Lattice parameters (Å, degrees): 4.7799 4.7799 10.4038 76.72 76.72 60.00
Fractional positions:
In  0.5000  0.5000  0.5000
Hg  0.8820  0.8820  0.3539
Li  0.7735  0.7735  0.6796
Hg  0.3957  0.3957  0.8129
Li  0.2265  0.2265  0.3204
Hg  0.6043  0.6043  0.1871
Ac  0.0000  0.0000  0.0000
Hg  0.1180  0.1180  0.6461

---

Ac2In3Ga after structural relaxation. Source: Alexandria via LeMat-Bulk, functional PBE.

## Properties
E_tot ... -3.7206 eV/atom
Total magnetic moment ... 0.00 μB/cell
Space group ... No. 8
ΔE_f ... -46.1 kJ per mole of atoms

Lattice parameters (Å, degrees): 4.7893 6.5363 6.6525 73.27 68.90 68.51
Fractional positions:
In  0.8462  0.6117  0.6958
In  0.1654  0.7552  0.9141
Ac  0.5646  0.1882  0.6825
Ga  0.1584  0.3827  0.3005
In  0.8264  0.2457  0.1014
Ac  0.4389  0.8165  0.3058

---

AcTbGdDy after structural relaxation. Source: Alexandria via LeMat-Bulk, functional PBE.

## Properties
E_tot ... -6.7185 eV/atom
Total magnetic moment ... 8.32 μB/cell
Space group ... No. 216
ΔE_f ... 13.2 kJ per mole of atoms

Lattice parameters (Å, degrees): 5.8412 5.8412 5.8412 60.00 60.00 60.00
Each line ends with the local moment (μB).
Fractional positions:
Dy  0.7500  0.7500  0.7500  0.18
Tb  0.0000  0.0000  0.0000  0.10
Ac  0.2500  0.2500  0.2500  0.09
Gd  0.5000  0.5000  0.5000  7.32

---

Ce2ZrAl3 after structural relaxation. Source: Alexandria via LeMat-Bulk, functional PBE.

## Properties
Offset from the most stable computed form ... 0.0 meV/atom
E_tot ... -5.6411 eV/atom
Total magnetic moment ... 1.13 μB/cell
Space group ... No. 166
ΔE_f ... -35.4 kJ per mole of atoms

Lattice parameters (Å, degrees): 5.6754 5.6754 5.8100 90.02 119.27 119.95
Each line ends with the local moment (μB).
Fractional positions:
Al  0.5000  0.5000  0.5000  0.00
Al  0.0000  0.0000  0.5000  0.00
Ce  0.7395  0.3701  0.1095  0.48
Zr  0.0000  0.0000  0.0000  0.02
Ce  0.2605  0.6299  0.8905  0.48
Al  0.5000  0.0000  0.5000  0.00

---

V2SiBi after structural relaxation. Source: Alexandria via LeMat-Bulk, functional PBE.

## Properties
Offset from the most stable computed form ... 0.0 meV/atom
ΔE_f (raw) ... 385 meV/atom
E_tot ... -6.5007 eV/atom
Total magnetic moment ... 0.00 μB/cell
Space group ... No. 225

Lattice parameters (Å, degrees): 4.5385 4.5385 4.5385 60.00 60.00 60.00
Fractional positions:
Si  0.0000  0.0000  0.0000
V  0.7500  0.7500  0.7500
V  0.2500  0.2500  0.2500
Bi  0.5000  0.5000  0.5000

---

K3BiOs after structural relaxation. Source: Alexandria via LeMat-Bulk, functional PBE.

## Properties
Offset from the most stable computed form ... 0.0 meV/atom
E_tot ... -2.5241 eV/atom
Total magnetic moment ... 4.00 μB/cell
Space group ... No. 221
ΔE_f ... 111.6 kJ per mole of atoms

Lattice parameters (Å, degrees): 6.1701 6.1701 6.1701 90.00 90.00 90.00
Each line ends with the local moment (μB).
Fractional positions:
Os  0.0000  0.0000  0.0000  2.20
K  0.5000  0.0000  0.0000  0.02
Bi  0.5000  0.5000  0.5000  0.82
K  0.0000  0.5000  0.0000  0.01
K  0.0000  0.0000  0.5000  0.01

---

TbY3Ru after structural relaxation. Source: Alexandria via LeMat-Bulk, functional PBE.

## Properties
Offset from the most stable computed form ... 0.0 meV/atom
E_tot ... -6.8564 eV/atom
Total magnetic moment ... 0.63 μB/cell
Space group ... No. 12
ΔE_f ... -19.0 kJ per mole of atoms

Lattice parameters (Å, degrees): 7.2873 7.2873 7.2728 108.21 112.44 107.89
Fractional positions:
Y  0.1528  0.9489  0.7066
Ru  0.6250  0.7516  0.3767
Y  0.7577  0.5538  0.7066
Y  0.8472  0.0511  0.2934
Y  0.2423  0.4462  0.2934
Tb  0.7057  0.0521  0.7578
Y  0.7053  0.4472  0.1525
Y  0.2947  0.5528  0.8475
Tb  0.2943  0.9479  0.2422
Ru  0.3750  0.2484  0.6233

---

RbBaSeCl after structural relaxation. Source: Alexandria via LeMat-Bulk, functional PBE.

## Properties
Offset from the most stable computed form ... 88.6 meV/atom
ΔE_f (raw) ... -1802 meV/atom
E_tot ... -3.8577 eV/atom
Total magnetic moment ... 0.00 μB/cell
Space group ... No. 216

Lattice parameters (Å, degrees): 5.6450 5.6450 5.6450 60.00 60.00 60.00
Fractional positions:
Cl  0.0000  0.0000  0.0000
Ba  0.7500  0.7500  0.7500
Se  0.5000  0.5000  0.5000
Rb  0.2500  0.2500  0.2500

---

NaSrCd2Ni after structural relaxation. Source: Alexandria via LeMat-Bulk, functional PBE.

## Properties
Offset from the most stable computed form ... 29.9 meV/atom
E_tot ... -2.1218 eV/atom
Total magnetic moment ... 0.00 μB/cell
Space group ... No. 123
ΔE_f ... 0.1 kJ per mole of atoms

Lattice parameters (Å, degrees): 5.0996 5.0996 5.1731 90.00 90.00 90.00
Fractional positions:
Sr  0.5000  0.5000  0.5000
Cd  0.0000  0.5000  0.0000
Na  0.0000  0.0000  0.5000
Ni  0.0000  0.0000  0.0000
Cd  0.5000  0.0000  0.0000

---

BeSnO2 after structural relaxation. Source: Alexandria via LeMat-Bulk, functional PBE.

## Properties
Offset from the most stable computed form ... 183.5 meV/atom
ΔE_f (raw) ... -1434 meV/atom
E_tot ... -5.8458 eV/atom
Total magnetic moment ... 0.00 μB/cell
Space group ... No. 166

Lattice parameters (Å, degrees): 5.8800 5.8800 5.8800 36.63 36.63 36.63
Fractional positions:
Be  0.0000  0.0000  0.0000
O  0.9127  0.9127  0.9127
Sn  0.5000  0.5000  0.5000
O  0.0873  0.0873  0.0873